# 1
{
  "formula": "SbPb2S",
  "functional": "GGA-PBE",
  "state": "optimized geometry",
  "lattice_angstrom": [[-1.269, -1.408, 5.010], [-4.285, -3.083, 0.912], [0.641, -5.072, 1.600]],
  "species": ["Pb", "Pb", "Sb", "S"],
  "fractional_positions": [[0.250, 0.250, 0.250], [0.750, 0.750, 0.750], [0.500, 0.500, 0.500], [0.000, 0.000, 0.000]],
  "space_group": "Fm-3m",
  "formation_energy_uncorrected_ev_per_atom": 0.02
}

***

# 2
{
  "formula": "Sb2Pb2S5",
  "functional": "GGA-PBE",
  "state": "optimized geometry",
  "lattice_angstrom": [[5.325, 0.000, 0.000], [-2.663, 8.276, 0.295], [0.000, -1.049, 5.568]],
  "species": ["S", "Pb", "S", "Pb", "Sb", "S", "S", "S", "Sb"],
  "fractional_positions": [[0.664, 0.329, 0.951], [0.587, 0.173, 0.340], [0.158, 0.316, 0.492], [0.413, 0.827, 0.660], [0.844, 0.688, 0.078], [0.842, 0.684, 0.508], [0.336, 0.671, 0.049], [0.000, 0.000, 0.000], [0.156, 0.312, 0.922]],
  "space_group": "C2/m",
  "formation_energy_uncorrected_ev_per_atom": -0.24
}

***

no.,distance to the lowest polymorph of the same formula (meV/atom)
1,150
2,139